The following is a PBE with a Hubbard U calculation of a geometry-optimized NdCoSe2O8 structure, from Alexandria.

Values from the calculation:
Its energy is -0.42625 Ry/atom. The calculated volume comes out at 179 Å³/f.u. As for the space-group type: No. 164.

```
12
Lattice="-4.4903 2.1356 -2.6854 -0.7001 -2.9609 4.7621 0.5182 5.4323 3.4538" Properties=species:S:1:pos:R:3 pbc="T T T"
O -3.3463 3.3562 4.9478
O -3.8308 2.4421 -0.9151
Co 0.0000 0.0000 0.0000
O -4.2213 0.7905 1.7412
Se -1.5615 2.9532 4.9596
Se -3.1108 1.6539 0.5709
O -1.6957 1.5460 4.0650
O -2.9766 3.0610 1.4656
O -0.8415 2.1649 6.4457
Nd 0.2591 2.7162 1.7269
O -0.4510 3.8165 3.7894
O -1.3261 1.2509 0.5828
```